No. 1
A plane-wave DFT calculation with PBE-GGA was carried out for crystalline Pa6C3SeS2 at its relaxed geometry.

a = 3.6752 Å, b = 7.7951 Å, c = 8.6112 Å
α = 107.38°, β = 102.32°, γ = 90.00°
Atoms (fractional coordinates):
1 S 0.1664 0.3324 0.3329
2 S 0.8336 0.6676 0.6671
3 C 0.5000 0.5000 0.0000
4 C 0.1663 0.8319 0.3327
5 C 0.8337 0.1681 0.6673
6 Pa 0.3231 0.9346 0.6461
7 Pa 0.6769 0.0654 0.3539
8 Pa 0.9920 0.2764 0.9841
9 Pa 0.0080 0.7236 0.0159
10 Pa 0.6597 0.6012 0.3195
11 Pa 0.3403 0.3988 0.6805
12 Se 0.5000 0.0000 0.0000

Output
* uncorrected energy: -108.766 eV per cell
* M_tot: 0.0 μB/f.u.
* V: 229 Å³/cell
* DOS(E_F): 8.9 states/eV/cell

No. 2
A plane-wave DFT calculation with PBE-GGA was carried out for crystalline SmPaCS at its relaxed geometry.

a = 3.7584 Å, b = 3.7584 Å, c = 6.7614 Å
α = 73.86°, β = 73.86°, γ = 60.00°
Atoms (fractional coordinates):
1 C 0.6844 0.6844 0.9467
2 Pa 0.9583 0.9583 0.1250
3 S 0.1984 0.1984 0.4047
4 Sm 0.4352 0.4352 0.6944

Output
* uncorrected energy: -32.217 eV per cell
* M_tot: 0.0 μB/f.u.
* V: 78 Å³/cell
* DOS(E_F): 1.8 states/eV/cell

No. 3
A plane-wave DFT calculation with PBE-GGA was carried out for crystalline SmPaCS2 at its relaxed geometry.

a = 3.9046 Å, b = 3.9046 Å, c = 14.1429 Å
α = 90.00°, β = 90.00°, γ = 90.00°
Atoms (fractional coordinates):
1 S 0.5000 0.0000 0.9081
2 S 0.0000 0.5000 0.6902
3 S 0.5000 0.0000 0.3098
4 S 0.0000 0.5000 0.0919
5 Sm 0.0000 0.5000 0.8782
6 Sm 0.5000 0.0000 0.1218
7 C 0.5000 0.5000 0.5000
8 C 0.0000 0.0000 0.5000
9 Pa 0.5000 0.0000 0.5868
10 Pa 0.0000 0.5000 0.4132

Output
* uncorrected energy: -77.067 eV per cell
* M_tot: 0.0 μB/f.u.
* V: 216 Å³/cell
* DOS(E_F): 5.6 states/eV/cell